# 1
Density functional theory data (GGA-PBE) for a geometry-optimized Pr6CuIr2Br3 structure.

Unit cell a=7.2824 b=7.2824 c=8.2117 alpha=98.50 beta=98.50 gamma=119.99
Sites, in units of the cell vectors:
Pr1 0.0909 0.4340 0.8021
Pr2 0.2228 0.2228 0.1977
Pr3 0.4340 0.0909 0.8021
Pr4 0.5660 0.9091 0.1979
Pr5 0.7772 0.7772 0.8023
Pr6 0.9091 0.5660 0.1979
Cu1 0.5000 0.5000 0.0000
Ir1 0.1667 0.8333 0.0000
Ir2 0.8333 0.1667 0.0000
Br1 0.0000 0.0000 0.5000
Br2 0.3331 0.6669 0.5000
Br3 0.6669 0.3331 0.5000

Summary:
Raw total energy: -5.5815 eV per atom
Volume: 360.3 Å³ per cell
Space-group type: C2/m
Density: 7.066 g cm⁻³
E_form (uncorrected): -0.96 eV/atom
Magnetic moment: 0.00 Bohr magnetons per cell


# 2
Density functional theory data (GGA-PBE) for a geometry-optimized SmCu4Pd3O12 structure.

Unit cell a=6.4857 b=6.4857 c=6.4857 alpha=109.47 beta=109.47 gamma=109.47
Sites, in units of the cell vectors:
Sm1 0.0000 0.0000 0.0000
Cu1 0.0000 0.0000 0.5000
Cu2 0.0000 0.5000 0.0000
Cu3 0.5000 0.0000 0.0000
Cu4 0.5000 0.5000 0.5000
Pd1 0.0000 0.5000 0.5000
Pd2 0.5000 0.0000 0.5000
Pd3 0.5000 0.5000 0.0000
O1 0.1224 0.8226 0.2997
O2 0.1774 0.2997 0.4771
O3 0.1774 0.7003 0.8776
O4 0.2997 0.1224 0.8226
O5 0.2997 0.4771 0.1774
O6 0.4771 0.1774 0.2997
O7 0.5229 0.8226 0.7003
O8 0.7003 0.5229 0.8226
O9 0.7003 0.8776 0.1774
O10 0.8226 0.2997 0.1224
O11 0.8226 0.7003 0.5229
O12 0.8776 0.1774 0.7003

Summary:
Raw total energy: -5.5570 eV per atom
Volume: 210.0 Å³ per cell
Space-group type: Im-3
Density: 7.241 g cm⁻³
E_form (uncorrected): -0.75 eV/atom
Magnetic moment: 1.32 Bohr magnetons per cell


# 3
Density functional theory data (GGA-PBE) for a geometry-optimized Np2U3Se8 structure.

Unit cell a=8.4890 b=8.4890 c=4.9897 alpha=90.00 beta=90.00 gamma=110.08
Sites, in units of the cell vectors:
Np1 0.2389 0.7611 0.0000
Np2 0.7611 0.2389 0.0000
U1 0.2302 0.2302 0.5000
U2 0.5000 0.5000 0.0000
U3 0.7698 0.7698 0.5000
Se1 0.1294 0.8706 0.5000
Se2 0.1358 0.3796 0.0000
Se3 0.3796 0.1358 0.0000
Se4 0.3846 0.6154 0.5000
Se5 0.6154 0.3846 0.5000
Se6 0.6204 0.8642 0.0000
Se7 0.8642 0.6204 0.0000
Se8 0.8706 0.1294 0.5000

Summary:
Raw total energy: -7.7763 eV per atom
Volume: 337.7 Å³ per cell
Space-group type: Cmmm
Density: 8.948 g cm⁻³
E_form (uncorrected): -1.04 eV/atom
Magnetic moment: 6.40 Bohr magnetons per cell